# NaU2GeO8 | Alexandria | PBE | optimized geometry
# * ΔE_f (raw): -30.57 eV/f.u.
# * symmetry: Cmmm
# * total magnetic moment: 1.0 μB/f.u.
# * theoretical density: 7.3 Mg/m³
# * final energy: -8.229 eV/atom
data_NaU2GeO8
_chemical_formula_sum 'Na1 U2 Ge1 O8'
_cell_length_a 4.791
_cell_length_b 4.791
_cell_length_c 6.918
_cell_angle_alpha 90.00
_cell_angle_beta 90.00
_cell_angle_gamma 88.43
_symmetry_space_group_name_H-M 'P 1'
_symmetry_Int_Tables_number 1
_symmetry_space_group_name_Hall 'P 1'
loop_
_atom_site_label
_atom_site_type_symbol
_atom_site_fract_x
_atom_site_fract_y
_atom_site_fract_z
O1 O 0.805 0.195 0.796
O2 O 0.678 0.678 0.500
O3 O 0.805 0.195 0.204
O4 O 0.195 0.805 0.796
O5 O 0.295 0.295 0.000
O6 O 0.705 0.705 0.000
O7 O 0.195 0.805 0.204
O8 O 0.322 0.322 0.500
U1 U 0.500 0.500 0.248
U2 U 0.500 0.500 0.752
Ge1 Ge 0.000 0.000 0.000
Na1 Na 0.000 0.000 0.500

# NaUGeO6 | Alexandria | PBE | optimized geometry
# * ΔE_f (raw): -18.26 eV/f.u.
# * symmetry: P-31c
# * total magnetic moment: 0.9 μB/f.u.
# * theoretical density: 5.6 Mg/m³
# * final energy: -7.248 eV/atom
data_NaUGeO6
_chemical_formula_sum 'Na2 U2 Ge2 O12'
_cell_length_a 5.327
_cell_length_b 5.327
_cell_length_c 10.343
_cell_angle_alpha 90.00
_cell_angle_beta 90.00
_cell_angle_gamma 120.00
_symmetry_space_group_name_H-M 'P 1'
_symmetry_Int_Tables_number 1
_symmetry_space_group_name_Hall 'P 1'
loop_
_atom_site_label
_atom_site_type_symbol
_atom_site_fract_x
_atom_site_fract_y
_atom_site_fract_z
Na1 Na 0.000 0.000 0.000
Na2 Na 0.000 0.000 0.500
O1 O 0.645 0.622 0.647
O2 O 0.022 0.645 0.353
O3 O 0.622 0.978 0.353
O4 O 0.978 0.355 0.647
O5 O 0.022 0.378 0.147
O6 O 0.645 0.022 0.853
O7 O 0.355 0.978 0.147
O8 O 0.378 0.022 0.647
O9 O 0.978 0.622 0.853
O10 O 0.622 0.645 0.147
O11 O 0.378 0.355 0.853
O12 O 0.355 0.378 0.353
U1 U 0.667 0.333 0.250
U2 U 0.333 0.667 0.750
Ge1 Ge 0.667 0.333 0.750
Ge2 Ge 0.333 0.667 0.250

# NaUGeO5 | Alexandria | PBE | optimized geometry
# * ΔE_f (raw): -19.47 eV/f.u.
# * symmetry: C2/c
# * total magnetic moment: 1.0 μB/f.u.
# * theoretical density: 5.6 Mg/m³
# * final energy: -7.685 eV/atom
data_NaUGeO5
_chemical_formula_sum 'Na2 U2 Ge2 O10'
_cell_length_a 5.935
_cell_length_b 5.935
_cell_length_c 7.941
_cell_angle_alpha 105.00
_cell_angle_beta 105.00
_cell_angle_gamma 103.88
_symmetry_space_group_name_H-M 'P 1'
_symmetry_Int_Tables_number 1
_symmetry_space_group_name_Hall 'P 1'
loop_
_atom_site_label
_atom_site_type_symbol
_atom_site_fract_x
_atom_site_fract_y
_atom_site_fract_z
Na1 Na 0.669 0.331 0.750
Na2 Na 0.331 0.669 0.250
O1 O 0.694 0.121 0.380
O2 O 0.744 0.628 0.401
O3 O 0.372 0.256 0.099
O4 O 0.922 0.078 0.750
O5 O 0.306 0.879 0.620
O6 O 0.121 0.694 0.880
O7 O 0.628 0.744 0.901
O8 O 0.879 0.306 0.120
O9 O 0.256 0.372 0.599
O10 O 0.078 0.922 0.250
Ge1 Ge 0.676 0.324 0.250
Ge2 Ge 0.324 0.676 0.750
U1 U 0.000 0.000 0.000
U2 U 0.000 0.000 0.500

# Na2UGeO6 | Alexandria | PBE | optimized geometry
# * ΔE_f (raw): -22.09 eV/f.u.
# * symmetry: P4mm
# * total magnetic moment: 0.0 μB/f.u.
# * theoretical density: 5.7 Mg/m³
# * final energy: -7.038 eV/atom
data_Na2UGeO6
_chemical_formula_sum 'Na2 U1 Ge1 O6'
_cell_length_a 4.321
_cell_length_b 5.535
_cell_length_c 5.535
_cell_angle_alpha 90.00
_cell_angle_beta 90.00
_cell_angle_gamma 90.00
_symmetry_space_group_name_H-M 'P 1'
_symmetry_Int_Tables_number 1
_symmetry_space_group_name_Hall 'P 1'
loop_
_atom_site_label
_atom_site_type_symbol
_atom_site_fract_x
_atom_site_fract_y
_atom_site_fract_z
O1 O 0.671 0.761 0.239
O2 O 0.671 0.239 0.239
O3 O 0.671 0.239 0.761
O4 O 0.159 0.500 0.500
O5 O 0.671 0.761 0.761
O6 O 0.178 0.000 0.000
Na1 Na 0.095 0.500 0.000
Na2 Na 0.095 0.000 0.500
U1 U 0.653 0.500 0.500
Ge1 Ge 0.582 0.000 0.000